A geometry-optimized MgTiAs2O8 structure, computed with PBE-GGA.

Total energy: -6.70 eV/atom
Density of states at the Fermi level: 0.000 states/eV/atom
Formation energy from raw total energies: -1.829 eV/atom

```
data_MgTiAs2O8
_space_group_name_H-M_alt 'I -4 m 2'
_space_group_IT_number 119
_space_group_name_Hall 'I -4 -2'
_cell_length_a 6.612
_cell_length_b 6.612
_cell_length_c 6.123
_cell_angle_alpha 90.00
_cell_angle_beta 90.00
_cell_angle_gamma 90.00
loop_
_atom_site_label
_atom_site_fract_x
_atom_site_fract_y
_atom_site_fract_z
Mg1 0.000 0.000 0.000
Ti1 0.000 0.500 0.750
As1 0.000 0.000 0.500
As2 0.000 0.500 0.250
O1 0.000 0.196 0.684
O2 0.000 0.314 0.054
```

---

A geometry-optimized K2ReSb structure, computed with PBE-GGA.

Total energy: -3.92 eV/atom
Density of states at the Fermi level: 1.095 states/eV/atom
Formation energy from raw total energies: 0.771 eV/atom

```
data_K2ReSb
_space_group_name_H-M_alt 'I m m 2'
_space_group_IT_number 44
_cell_length_a 4.232
_cell_length_b 5.923
_cell_length_c 11.136
_cell_angle_alpha 90.00
_cell_angle_beta 90.00
_cell_angle_gamma 90.00
loop_
_space_group_symop_operation_xyz
'x,y,z'
'-x,-y,z'
'-x,y,z'
'x,-y,z'
'x+1/2,y+1/2,z+1/2'
'-x+1/2,-y+1/2,z+1/2'
'-x+1/2,y+1/2,z+1/2'
'x+1/2,-y+1/2,z+1/2'
loop_
_atom_site_label
_atom_site_fract_x
_atom_site_fract_y
_atom_site_fract_z
K1 0.000 0.000 0.000
K2 0.000 0.500 0.201
Re1 0.000 0.500 0.792
Sb1 0.000 0.000 0.420
```

---

A geometry-optimized LaPr2Pd structure, computed with PBE-GGA.

Total energy: -5.24 eV/atom
Density of states at the Fermi level: 1.737 states/eV/atom
Distance to the lowest polymorph of the same formula: 35 kJ/mol of formula units

```
data_LaPr2Pd
_space_group_name_H-M_alt 'P 4/m m m'
_space_group_IT_number 123
_space_group_name_Hall '-P 4 2'
_cell_length_a 3.702
_cell_length_b 3.702
_cell_length_c 8.863
_cell_angle_alpha 90.00
_cell_angle_beta 90.00
_cell_angle_gamma 90.00
loop_
_atom_site_label
_atom_site_fract_x
_atom_site_fract_y
_atom_site_fract_z
La1 0.000 0.000 0.000
Pr1 0.500 0.500 0.302
Pd1 0.000 0.000 0.500
```

---

A geometry-optimized YZrAs2 structure, computed with PBE-GGA.

Total energy: -7.36 eV/atom
Density of states at the Fermi level: 0.377 states/eV/atom
Distance to the lowest polymorph of the same formula: 15 kJ/mol of formula units

```
data_YZrAs2
_space_group_name_H-M_alt 'P 4/m m m'
_space_group_IT_number 123
_space_group_name_Hall '-P 4 2'
_cell_length_a 3.989
_cell_length_b 3.989
_cell_length_c 5.637
_cell_angle_alpha 90.00
_cell_angle_beta 90.00
_cell_angle_gamma 90.00
loop_
_atom_site_label
_atom_site_fract_x
_atom_site_fract_y
_atom_site_fract_z
Y1 0.000 0.000 0.000
Zr1 0.500 0.500 0.500
As1 0.000 0.000 0.500
As2 0.500 0.500 0.000
```

---

Number 1 is which compound? MgTiAs2O8